5
Lattice="5.8419 0.0000 0.0000 0.0000 5.8419 0.0000 0.0000 0.0000 5.8419" Properties=species:S:1:pos:R:3 comment="NaGa3I SCAN single point on PBEsol structure" formation_energy_uncorrected_ev_per_atom=0.60 sg="Pm-3m (221)" pbc="T T T"
Na 0.0000 0.0000 0.0000
Ga 0.0000 2.9210 2.9210
Ga 2.9210 0.0000 2.9210
Ga 2.9210 2.9210 0.0000
I 2.9210 2.9210 2.9210

***

5
Lattice="6.2697 0.0000 0.0000 0.0000 6.2697 0.0000 0.0000 0.0000 5.8476" Properties=species:S:1:pos:R:3 comment="NaTl2GaI SCAN single point on PBEsol structure" formation_energy_uncorrected_ev_per_atom=0.31 sg="P4/mmm (123)" pbc="T T T"
Na 0.0000 0.0000 0.0000
Tl 0.0000 3.1349 2.9238
Tl 3.1349 0.0000 2.9238
Ga 3.1349 3.1349 0.0000
I 3.1349 3.1349 2.9238

***

5
Lattice="4.7830 0.0000 0.0000 0.0000 4.7830 0.0000 0.0000 0.0000 5.0254" Properties=species:S:1:pos:R:3 comment="NbGaOs2I SCAN single point on PBEsol structure" formation_energy_uncorrected_ev_per_atom=1.83 sg="P4/mmm (123)" pbc="T T T"
Nb 0.0000 0.0000 0.0000
Ga 0.0000 0.0000 2.5127
Os 0.0000 2.3915 0.0000
Os 2.3915 0.0000 0.0000
I 2.3915 2.3915 2.5127

***

no.,V (Å³/atom)
1,39.87
2,45.97
3,22.99